LiHfTe3Au: relaxed, PBE-GGA.

Summary:
Its magnetic moment is 0.00 μB/atom. The value obtained for the energy above the most stable polymorph in this dataset is 65 meV per atom. For the total energy, the calculation gives -4.6804 eV per atom.

Cell: 12.9430 4.0403 12.3198 Å, 90.00 90.00 90.00°
With the nearest neighbours (Å) after each atom.
Atoms (fractional coordinates):
Li: 0.2265 0.2500 0.0669  2 Au 2.80, 2 Te 3.08
Li: 0.2735 0.7500 0.5669  2 Au 2.80, 2 Te 3.08
Li: 0.7265 0.2500 0.4331  2 Au 2.80, 2 Te 3.08
Li: 0.7735 0.7500 0.9331  2 Au 2.80, 2 Te 3.08
Hf: 0.0789 0.2500 0.3301  5 Te 2.77-3.00
Hf: 0.4211 0.7500 0.8301  5 Te 2.77-3.00
Hf: 0.5789 0.2500 0.1699  5 Te 2.77-3.00
Hf: 0.9211 0.7500 0.6699  5 Te 2.77-3.00
Te: 0.0574 0.7500 0.1594  1 Au 2.71, 2 Hf 2.93
Te: 0.0719 0.2500 0.5840  1 Au 2.77, 2 Hf 3.00
Te: 0.2121 0.7500 0.8793  1 Hf 2.77, 2 Au 2.83, 2 Li 3.08
Te: 0.2879 0.2500 0.3793  1 Hf 2.77, 2 Au 2.83, 2 Li 3.08
Te: 0.4281 0.7500 0.0840  1 Au 2.77, 2 Hf 3.00
Te: 0.4426 0.2500 0.6594  1 Au 2.71, 2 Hf 2.93
Te: 0.5574 0.7500 0.3406  1 Au 2.71, 2 Hf 2.93
Te: 0.5719 0.2500 0.9160  1 Au 2.77, 2 Hf 3.00
Te: 0.7121 0.7500 0.6207  1 Hf 2.77, 2 Au 2.83, 2 Li 3.08
Te: 0.7879 0.2500 0.1207  1 Hf 2.77, 2 Au 2.83, 2 Li 3.08
Te: 0.9281 0.7500 0.4160  1 Au 2.77, 2 Hf 3.00
Te: 0.9426 0.2500 0.8406  1 Au 2.71, 2 Hf 2.93
Au: 0.2413 0.2500 0.7208  4 Te 2.71-2.83, 2 Li 2.80
Au: 0.2587 0.7500 0.2208  4 Te 2.71-2.83, 2 Li 2.80
Au: 0.7413 0.2500 0.7792  4 Te 2.71-2.83, 2 Li 2.80
Au: 0.7587 0.7500 0.2792  4 Te 2.71-2.83, 2 Li 2.80